# 1
Here is Ta2AlGa after structural relaxation from Alexandria via LeMat-Bulk. Energies are from PBE-GGA.

Lattice parameters (Å, degrees): 2.9405 2.9405 27.5837 90.00 90.00 120.00
With the nearest neighbours (Å) after each atom.
Space group R3m (No. 160, hexagonal axes)
Asymmetric unit:
Ta  0.0000  0.0000  0.0000 (multiplicity 3)  3 Al 2.86, 3 Ga 2.86, 6 Ta 2.94
Ta  0.0000  0.0000  0.1666 (multiplicity 3)  3 Al 2.86, 3 Ga 2.86, 6 Ta 2.94
Al  0.0000  0.0000  0.7500 (multiplicity 3)  6 Ta 2.86, 6 Al 2.94
Ga  0.0000  0.0000  0.5833 (multiplicity 3)  6 Ta 2.86, 6 Ga 2.94

Output
Its crystal system is trigonal. The calculation puts the energy of formation from the pure elements at -0.13 eV/atom.

---

# 2
Here is SbPtSe2 after structural relaxation from Alexandria via LeMat-Bulk. Energies are from PBE-GGA.

Lattice parameters (Å, degrees): 3.8453 3.8453 21.7440 90.00 90.00 120.00
With the nearest neighbours (Å) after each atom.
Space group R3m (No. 160, hexagonal axes)
Asymmetric unit:
Sb  0.0000  0.0000  0.0000 (multiplicity 3)  3 Pt 2.75, 3 Se 2.85
Pt  0.0000  0.0000  0.2589 (multiplicity 3)  3 Se 2.54, 3 Sb 2.75
Se  0.0000  0.0000  0.5359 (multiplicity 3)  3 Pt 2.54
Se  0.0000  0.0000  0.7492 (multiplicity 3)  3 Sb 2.85

Output
Its crystal system is trigonal. The value obtained for the raw formation energy is -17 kJ per mole of atoms.

---

# 3
Here is BeTeRuI2 after structural relaxation from Alexandria via LeMat-Bulk. Energies are from PBE-GGA.

Lattice parameters (Å, degrees): 5.1684 5.1684 5.0585 90.00 90.00 90.00
With the nearest neighbours (Å) after each atom.
Space group P4/mmm (No. 123)
Asymmetric unit:
Be  0.0000  0.0000  0.0000 (multiplicity 1)  2 Te 2.53, 4 I 2.58
Te  0.0000  0.0000  0.5000 (multiplicity 1)  2 Be 2.53
Ru  0.5000  0.5000  0.5000 (multiplicity 1)  8 I 3.62, 4 Te 3.65
I  0.0000  0.5000  0.0000 (multiplicity 2)  2 Be 2.58

Output
Its crystal system is tetragonal. The energy above the most stable polymorph in this dataset comes out at 0.3073 eV/atom. The value obtained for the raw formation energy is 97 kJ per mole of atoms.

---

# 4
Here is Nd2NpIr9 after structural relaxation from Alexandria via LeMat-Bulk. Energies are from PBE-GGA.

Lattice parameters (Å, degrees): 5.3385 5.3385 26.6225 90.00 90.00 120.00
With the nearest neighbours (Å) after each atom.
Space group R-3m (No. 166, hexagonal axes)
Asymmetric unit:
Nd  0.0000  0.0000  0.1398 (multiplicity 6)  12 Ir 3.10-3.38, 3 Nd 3.40
Np  0.0000  0.0000  0.0000 (multiplicity 3)  18 Ir 3.08-3.43
Ir  0.0000  0.0000  0.3328 (multiplicity 6)  6 Ir 2.64-2.65
Ir  0.0000  0.0000  0.5000 (multiplicity 3)  6 Ir 2.75
Ir  0.0020  0.5010  0.0807 (multiplicity 18)  7 Ir 2.64-2.75

Output
Its crystal system is trigonal. The calculation puts the energy of formation from the pure elements at -0.42 eV/atom.

---

# 5
Here is TaCoTe2 after structural relaxation from Alexandria via LeMat-Bulk. Energies are from PBE-GGA.

Lattice parameters (Å, degrees): 3.4764 3.4392 6.6539 90.00 99.18 90.00
With the nearest neighbours (Å) after each atom.
Space group P2/m (No. 10)
Asymmetric unit:
Ta  0.0000  0.0000  0.0000 (multiplicity 1)  8 Te 2.91-2.98
Co  0.0000  0.0000  0.5000 (multiplicity 1)  4 Te 2.64
Te  0.4053  0.5000  0.7500 (multiplicity 2)  2 Co 2.64, 2 Ta 2.91

Output
Its crystal system is monoclinic. The value obtained for the raw formation energy is 23 kJ per mole of atoms.

---

# 6
Here is Al2AsP after structural relaxation from Alexandria via LeMat-Bulk. Energies are from PBE-GGA.

Lattice parameters (Å, degrees): 3.5367 3.4606 13.6783 90.00 90.00 90.00
With the nearest neighbours (Å) after each atom.
Space group Amm2 (No. 38)
Asymmetric unit:
Al  0.0000  0.0000  0.0000 (multiplicity 2)  4 P 2.53, 1 As 2.72
Al  0.5000  0.0000  0.3632 (multiplicity 2)  1 P 2.39, 4 As 2.62
As  0.0000  0.0000  0.8010 (multiplicity 2)  5 Al 2.62-2.72
P  0.5000  0.0000  0.5377 (multiplicity 2)  5 Al 2.39-2.53

Output
Its crystal system is orthorhombic. The calculation puts the energy of formation from the pure elements at -0.15 eV/atom. The energy above the most stable polymorph in this dataset comes out at 0.3967 eV/atom.

---

# 7
Here is TbPrPa after structural relaxation from Alexandria via LeMat-Bulk. Energies are from PBE-GGA.

Lattice parameters (Å, degrees): 17.2743 4.0045 5.5694 90.00 90.00 90.00
With the nearest neighbours (Å) after each atom.
Space group Pnma (No. 62)
Asymmetric unit:
Tb  0.0849  0.2500  0.9998 (multiplicity 4)  6 Pa 3.48-3.65, 2 Tb 3.55, 4 Pr 3.71-3.81
Pr  0.2273  0.2500  0.4986 (multiplicity 4)  4 Pr 3.52, 2 Pa 3.64, 4 Tb 3.71-3.81
Pa  0.0516  0.7500  0.5001 (multiplicity 4)  2 Pa 2.68

Output
Its crystal system is orthorhombic. The calculation puts the energy of formation from the pure elements at 0.21 eV/atom. The energy above the most stable polymorph in this dataset comes out at 0.0411 eV/atom.

---

# 8
Here is NdYGaNi after structural relaxation from Alexandria via LeMat-Bulk. Energies are from PBE-GGA.

Lattice parameters (Å, degrees): 4.2730 4.3096 10.1007 90.00 90.00 90.00
With the nearest neighbours (Å) after each atom.
Space group Amm2 (No. 38)
Asymmetric unit:
Nd  0.0000  0.0000  0.0000 (multiplicity 2)  3 Ni 2.84-3.09, 4 Ga 3.16
Y  0.5000  0.0000  0.2892 (multiplicity 2)  3 Ga 2.96-3.03, 4 Ni 3.12
Ga  0.5000  0.0000  0.5889 (multiplicity 2)  2 Ni 2.51
Ni  0.0000  0.0000  0.7186 (multiplicity 2)  2 Ga 2.51

Output
Its crystal system is orthorhombic. The calculation puts the energy of formation from the pure elements at -0.46 eV/atom. The energy above the most stable polymorph in this dataset comes out at 0.0000 eV/atom.

---

# 9
Here is Ac7Ge2H2 after structural relaxation from Alexandria via LeMat-Bulk. Energies are from PBE-GGA.

Lattice parameters (Å, degrees): 8.2888 12.7858 6.5861 90.00 96.72 90.00
With the nearest neighbours (Å) after each atom.
Space group C2/m (No. 12)
Asymmetric unit:
Ac  0.0000  0.0000  0.0000 (multiplicity 2)  2 H 2.74
Ac  0.1570  0.5000  0.2760 (multiplicity 4)  2 H 2.67-2.79
Ac  0.1668  0.2966  0.7405 (multiplicity 8)  1 H 2.74
Ge  0.0000  0.1002  0.5000 (multiplicity 4)  1 Ge 2.56
H  0.1726  0.5000  0.8730 (multiplicity 4)  5 Ac 2.67-2.79

Output
Its crystal system is monoclinic. Its total energy is -4.394 eV per atom.

---

# 10
Here is SrPr5Pb6 after structural relaxation from Alexandria via LeMat-Bulk. Energies are from PBE-GGA.

Lattice parameters (Å, degrees): 16.5116 9.2641 5.1708 90.00 108.05 90.00
With the nearest neighbours (Å) after each atom.
Space group C2/m (No. 12)
Asymmetric unit:
Sr  0.0000  0.0000  0.0000 (multiplicity 2)  8 Pb 3.48-3.52, 4 Pr 3.68-3.69
Pr  0.0000  0.5000  0.0000 (multiplicity 2)  8 Pb 3.46-3.51, 4 Pr 3.65-3.66
Pr  0.1645  0.5000  0.6650 (multiplicity 4)  8 Pb 3.46-3.50, 4 Pr 3.65-3.70
Pr  0.1671  0.0000  0.6666 (multiplicity 4)  8 Pb 3.46-3.51, 2 Sr 3.68-3.69, 2 Pr 3.69-3.70
Pb  0.0000  0.2521  0.5000 (multiplicity 4)  6 Pr 3.46-3.51, 2 Sr 3.48, 4 Pb 3.69-3.71
Pb  0.1687  0.2509  0.1688 (multiplicity 8)  7 Pr 3.46-3.51, 1 Sr 3.52, 4 Pb 3.63-3.71

Output
Its crystal system is monoclinic. The calculation puts the energy of formation from the pure elements at -0.51 eV/atom.

---

# 11
Here is Zr6ZnCo after structural relaxation from Alexandria via LeMat-Bulk. Energies are from PBE-GGA.

Lattice parameters (Å, degrees): 6.0449 9.3637 5.9243 90.00 101.16 90.00
With the nearest neighbours (Å) after each atom.
Space group C2/m (No. 12)
Asymmetric unit:
Zr  0.1498  0.1997  0.2539 (multiplicity 8)  1 Co 2.64
Zr  0.2390  0.5000  0.1176 (multiplicity 4)  1 Co 2.50
Zn  0.0000  0.5000  0.5000 (multiplicity 2)  6 Zr 2.91-2.98, 2 Co 3.02
Co  0.0000  0.0000  0.5000 (multiplicity 2)  6 Zr 2.50-2.64

Output
Its crystal system is monoclinic. The calculation puts the energy of formation from the pure elements at -0.06 eV/atom. The energy above the most stable polymorph in this dataset comes out at 0.0537 eV/atom.